{
  "formula": "MgTaSi2O8",
  "functional": "PBE-GGA",
  "state": "relaxed",
  "vol_a3_per_fu": 127,
  "final_energy_ev_per_atom": -7.863,
  "formation_energy_uncorrected_kj_per_mol_fu": -2933.3,
  "cell": [[-3.221, 3.562, 2.652], [3.415, -2.768, 3.283], [3.081, 2.880, -3.510]],
  "species": ["Mg", "Ta", "Si", "Si", "O", "O", "O", "O", "O", "O", "O", "O"],
  "fractional_positions": [[0.250, 0.750, 0.500], [0.000, 0.000, 0.000], [0.750, 0.250, 0.500], [0.500, 0.500, 0.000], [0.384, 0.082, 0.302], [0.314, 0.499, 0.185], [0.314, 0.129, 0.815], [0.780, 0.082, 0.698], [0.871, 0.686, 0.185], [0.918, 0.220, 0.302], [0.918, 0.616, 0.698], [0.501, 0.686, 0.815]]
}